Material: MoPbAuF2
Method: DFT, PBE+U
State: relaxed

Geometry as CIF:
```
data_MoPbAuF2
_symmetry_space_group_name_H-M 'P 4/m m m'
_symmetry_Int_Tables_number 123
_symmetry_space_group_name_Hall '-P 4 2'
_cell_length_a 4.463
_cell_length_b 4.463
_cell_length_c 5.640
_cell_angle_alpha 90.00
_cell_angle_beta 90.00
_cell_angle_gamma 90.00
loop_
_atom_site_label
_atom_site_fract_x
_atom_site_fract_y
_atom_site_fract_z
_atom_site_occupancy
Mo1 0.000 0.000 0.000 1
Pb1 0.500 0.500 0.000 1
Au1 0.000 0.000 0.500 1
F1 0.000 0.500 0.500 1
```

* energy: -3.65 eV/atom